4
Lattice="3.8392 0.0000 0.0000 0.0000 3.8392 0.0000 0.0000 0.0000 4.2775" Properties=species:S:1:pos:R:3 comment="PBEsol Mo2AsAu, optimized geometry" e_form_kj_per_mol_fu=154 n_ef_per_ev_cell=3.1 e_tot_ha_per_atom=-0.2846 pbc="T T T"
Mo 0.0000 1.9196 0.0000
Mo 1.9196 0.0000 0.0000
As 0.0000 0.0000 2.1388
Au 1.9196 1.9196 2.1388